No. 1
Compound: Dy8Sb2Pb
Source: Alexandria via LeMat-Bulk
Functional: GGA-PBE
Structure: relaxed

The structure in POSCAR format:
```
Dy8Sb2Pb
1.0
4.814 0.000 0.000
0.000 7.300 0.662
-2.407 -2.256 9.243
Dy Sb Pb
8 2 1
direct
0.403 0.504 0.807 Dy
0.665 0.026 0.329 Dy
0.784 0.647 0.569 Dy
0.985 0.252 0.971 Dy
0.216 0.353 0.431 Dy
0.335 0.974 0.671 Dy
0.597 0.496 0.193 Dy
0.015 0.748 0.029 Dy
0.820 0.235 0.640 Sb
0.180 0.765 0.360 Sb
0.500 0.000 0.000 Pb
```

Properties
Symmetry ... C2/m
E_form (uncorrected) ... -0.4136 eV/atom

***

No. 2
Compound: CoAu2Se
Source: Alexandria via LeMat-Bulk
Functional: GGA-PBE
Structure: relaxed

The structure in POSCAR format:
```
CoAu2Se
1.0
3.006 0.000 0.000
0.000 2.842 -0.186
0.000 0.562 8.323
Au Co Se
2 1 1
direct
0.000 0.753 0.028 Au
0.500 0.251 0.280 Au
0.000 0.749 0.493 Co
0.500 0.746 0.699 Se
```

Properties
Symmetry ... Pm
E_form (uncorrected) ... 0.1593 eV/atom

***

No. 3
Compound: Ho6AlHg5
Source: Alexandria via LeMat-Bulk
Functional: GGA-PBE
Structure: relaxed

The structure in POSCAR format:
```
Ho6AlHg5
1.0
-0.388 5.032 1.248
-2.742 1.457 -6.726
-5.686 -4.472 5.429
Hg Ho Al
5 6 1
direct
0.664 0.164 0.328 Hg
0.335 0.335 0.669 Hg
0.000 0.500 0.000 Hg
0.665 0.665 0.331 Hg
0.336 0.836 0.672 Hg
0.835 0.587 0.669 Ho
0.835 0.082 0.669 Ho
0.500 0.753 0.000 Ho
0.500 0.247 0.000 Ho
0.165 0.918 0.331 Ho
0.165 0.413 0.331 Ho
0.000 0.000 0.000 Al
```

Properties
Formation enthalpy at 0 K ... -0.457 eV/atom
Symmetry ... Immm

***

No. 4
Compound: SrAgRhC2
Source: Alexandria via LeMat-Bulk
Functional: GGA-PBE
Structure: relaxed

The structure in POSCAR format:
```
SrAgRhC2
1.0
4.521 0.000 0.000
0.000 5.464 0.000
0.000 0.000 4.521
Sr C Rh Ag
1 2 1 1
direct
0.000 0.000 0.000 Sr
0.000 0.000 0.500 C
0.500 0.000 0.000 C
0.500 0.500 0.500 Rh
0.000 0.500 0.000 Ag
```

Properties
Formation enthalpy at 0 K ... 3.048 eV/atom
Symmetry ... P4/mmm

***

No. 5
Compound: TlFeIr2
Source: Alexandria via LeMat-Bulk
Functional: GGA-PBE
Structure: relaxed

The structure in POSCAR format:
```
TlFeIr2
1.0
-3.892 0.246 -1.799
-1.215 -0.441 2.568
-0.669 4.962 2.125
Fe Ir Tl
1 2 1
direct
0.500 0.750 0.750 Fe
0.000 0.899 0.972 Ir
0.000 0.601 0.528 Ir
0.500 0.250 0.250 Tl
```

Properties
Excess energy over the best structure of this formula in the dataset ... 131 meV per atom
Formation enthalpy at 0 K ... 0.435 eV/atom
Symmetry ... P2/m

***

No. 6
Compound: ZnCuP4O12
Source: Alexandria via LeMat-Bulk
Functional: GGA-PBE
Structure: relaxed

The structure in POSCAR format:
```
ZnCuP4O12
1.0
-5.403 5.164 -0.309
-6.190 -2.474 -3.393
-7.417 -1.719 6.153
Zn Cu P O
2 2 8 24
direct
0.945 0.055 0.750 Zn
0.055 0.945 0.250 Zn
0.000 0.500 0.500 Cu
0.500 0.000 0.000 Cu
0.694 0.691 0.808 P
0.309 0.306 0.692 P
0.306 0.309 0.192 P
0.691 0.694 0.308 P
0.747 0.271 0.025 P
0.729 0.253 0.475 P
0.253 0.729 0.975 P
0.271 0.747 0.525 P
0.462 0.711 0.833 O
0.289 0.538 0.667 O
0.538 0.289 0.167 O
0.711 0.462 0.333 O
0.755 0.504 0.951 O
0.496 0.245 0.549 O
0.245 0.496 0.049 O
0.504 0.755 0.451 O
0.815 0.658 0.653 O
0.342 0.185 0.847 O
0.185 0.342 0.347 O
0.658 0.815 0.153 O
0.705 0.876 0.832 O
0.124 0.295 0.668 O
0.295 0.124 0.168 O
0.876 0.705 0.332 O
0.720 0.204 0.909 O
0.796 0.280 0.591 O
0.280 0.796 0.091 O
0.204 0.720 0.409 O
0.920 0.158 0.090 O
0.842 0.080 0.410 O
0.080 0.842 0.910 O
0.158 0.920 0.590 O
```

Properties
Symmetry ... C2/c
E_form (uncorrected) ... -1.8759 eV/atom

***

No. 7
Compound: TaCo
Source: Alexandria via LeMat-Bulk
Functional: GGA-PBE
Structure: relaxed

The structure in POSCAR format:
```
TaCo
1.0
6.673 0.000 0.000
0.000 6.673 0.000
0.000 0.000 6.673
Ta Co
6 6
direct
0.250 0.500 0.000 Ta
0.750 0.500 0.000 Ta
0.500 0.000 0.250 Ta
0.500 0.000 0.750 Ta
0.000 0.250 0.500 Ta
0.000 0.750 0.500 Ta
0.250 0.000 0.500 Co
0.750 0.000 0.500 Co
0.000 0.500 0.250 Co
0.000 0.500 0.750 Co
0.500 0.250 0.000 Co
0.500 0.750 0.000 Co
```

Properties
Formation enthalpy at 0 K ... 1.431 eV/atom
Symmetry ... Pm-3n

***

No. 8
Compound: Ac8GePt6
Source: Alexandria via LeMat-Bulk
Functional: GGA-PBE
Structure: relaxed

The structure in POSCAR format:
```
Ac8GePt6
1.0
-3.098 1.435 3.009
-3.361 -10.143 1.378
7.864 3.960 6.208
Ac Ge Pt
8 1 6
direct
0.748 0.943 0.258 Ac
0.748 0.742 0.685 Ac
0.748 0.315 0.057 Ac
0.252 0.057 0.742 Ac
0.252 0.258 0.315 Ac
0.252 0.685 0.943 Ac
0.752 0.333 0.667 Ac
0.248 0.667 0.333 Ac
0.500 0.000 0.000 Ge
0.747 0.613 0.083 Pt
0.747 0.917 0.530 Pt
0.747 0.470 0.387 Pt
0.253 0.387 0.917 Pt
0.253 0.083 0.470 Pt
0.253 0.530 0.613 Pt
```

Properties
Formation enthalpy at 0 K ... -0.908 eV/atom
Symmetry ... P-3

***

No. 9
Compound: Nd6Ga2SI3
Source: Alexandria via LeMat-Bulk
Functional: GGA-PBE
Structure: relaxed

The structure in POSCAR format:
```
Nd6Ga2SI3
1.0
-1.824 -0.363 7.189
2.159 -6.132 -3.589
7.228 3.611 0.738
Nd Ga S I
6 2 1 3
direct
0.933 0.605 0.800 Nd
0.738 0.738 0.201 Nd
0.067 0.395 0.200 Nd
0.605 0.933 0.800 Nd
0.262 0.262 0.799 Nd
0.395 0.067 0.200 Nd
0.333 0.667 0.000 Ga
0.667 0.333 0.000 Ga
0.000 0.000 0.000 S
0.170 0.830 0.500 I
0.830 0.170 0.500 I
0.500 0.500 0.500 I
```

Properties
Symmetry ... C2/m
E_form (uncorrected) ... -1.0334 eV/atom

***

No. 10
Compound: ThGeRh3
Source: Alexandria via LeMat-Bulk
Functional: GGA-PBE
Structure: relaxed

The structure in POSCAR format:
```
ThGeRh3
1.0
-4.619 -3.457 -0.752
3.586 -0.874 4.498
-7.292 8.133 7.393
Th Ge Rh
4 4 12
direct
0.333 0.667 0.250 Th
0.667 0.333 0.750 Th
0.000 0.000 0.500 Th
0.000 0.000 0.000 Th
0.667 0.333 0.130 Ge
0.333 0.667 0.630 Ge
0.333 0.667 0.870 Ge
0.667 0.333 0.370 Ge
0.153 0.305 0.750 Rh
0.305 0.153 0.250 Rh
0.847 0.153 0.250 Rh
0.153 0.847 0.750 Rh
0.695 0.847 0.750 Rh
0.847 0.695 0.250 Rh
0.500 0.500 0.500 Rh
0.500 0.000 0.000 Rh
0.500 0.500 0.000 Rh
0.500 0.000 0.500 Rh
0.000 0.500 0.500 Rh
0.000 0.500 0.000 Rh
```

Properties
Excess energy over the best structure of this formula in the dataset ... 0 meV per atom
Formation enthalpy at 0 K ... -0.635 eV/atom
Symmetry ... P6_3/mmc

***

No. 11
Compound: Tb8Pm5In
Source: Alexandria via LeMat-Bulk
Functional: GGA-PBE
Structure: relaxed

The structure in POSCAR format:
```
Tb8Pm5In
1.0
7.758 1.698 -3.612
-2.637 7.739 -3.548
-0.911 -1.698 8.509
Tb Pm In
8 5 1
direct
0.058 0.576 0.003 Tb
0.960 0.069 0.649 Tb
0.778 0.286 0.413 Tb
0.676 0.680 0.102 Tb
0.422 0.320 0.997 Tb
0.580 0.931 0.892 Tb
0.426 0.424 0.482 Tb
0.126 0.714 0.491 Tb
0.885 0.276 0.062 Pm
0.070 0.044 0.312 Pm
0.786 0.724 0.609 Pm
0.498 0.000 0.498 Pm
0.268 0.956 0.026 Pm
0.215 0.500 0.715 In
```

Properties
Formation enthalpy at 0 K ... 0.094 eV/atom
Symmetry ... C2

***

No. 12
Compound: Mn2PdCl
Source: Alexandria via LeMat-Bulk
Functional: GGA-PBE
Structure: relaxed

The structure in POSCAR format:
```
Mn2PdCl
1.0
-3.252 1.401 -5.714
-1.633 -6.487 -0.661
-5.262 -2.010 -1.453
Mn Pd Cl
4 2 2
direct
0.616 0.125 0.250 Mn
0.134 0.625 0.250 Mn
0.375 0.384 0.750 Mn
0.875 0.866 0.750 Mn
0.000 0.000 0.000 Pd
0.750 0.250 0.500 Pd
0.500 0.500 0.000 Cl
0.250 0.750 0.500 Cl
```

Properties
Excess energy over the best structure of this formula in the dataset ... 0 meV per atom
Symmetry ... I-42d
E_form (uncorrected) ... 0.2492 eV/atom

***

No. 13
Compound: K2PS3
Source: Alexandria via LeMat-Bulk
Functional: GGA-PBE
Structure: relaxed

The structure in POSCAR format:
```
K2PS3
1.0
8.424 0.000 0.037
0.000 12.210 0.000
-0.296 0.000 13.765
K P S
16 8 24
direct
0.247 0.747 0.933 K
0.253 0.247 0.067 K
0.753 0.253 0.067 K
0.747 0.753 0.933 K
0.840 0.432 0.818 K
0.660 0.932 0.182 K
0.160 0.568 0.182 K
0.340 0.068 0.818 K
0.675 0.284 0.441 K
0.825 0.784 0.559 K
0.325 0.716 0.559 K
0.175 0.216 0.441 K
0.817 0.093 0.690 K
0.683 0.593 0.310 K
0.183 0.907 0.310 K
0.317 0.407 0.690 K
0.930 0.490 0.571 P
0.570 0.990 0.429 P
0.070 0.510 0.429 P
0.430 0.010 0.571 P
0.934 0.023 0.929 P
0.566 0.523 0.071 P
0.066 0.977 0.071 P
0.434 0.477 0.929 P
0.505 0.322 0.895 S
0.995 0.822 0.105 S
0.495 0.678 0.105 S
0.005 0.178 0.895 S
0.697 0.015 0.957 S
0.803 0.515 0.043 S
0.303 0.985 0.043 S
0.197 0.485 0.957 S
0.503 0.587 0.827 S
0.997 0.087 0.173 S
0.497 0.413 0.173 S
0.003 0.913 0.827 S
0.968 0.405 0.330 S
0.532 0.905 0.670 S
0.032 0.595 0.670 S
0.468 0.095 0.330 S
0.801 0.026 0.459 S
0.699 0.526 0.541 S
0.199 0.974 0.541 S
0.301 0.474 0.459 S
0.964 0.330 0.611 S
0.536 0.830 0.389 S
0.036 0.670 0.389 S
0.464 0.170 0.611 S
```

Properties
Excess energy over the best structure of this formula in the dataset ... 0 meV per atom
Symmetry ... P2_1/c
E_form (uncorrected) ... -0.9544 eV/atom

***

No. 14
Compound: Ni2HgCl
Source: Alexandria via LeMat-Bulk
Functional: GGA-PBE
Structure: relaxed

The structure in POSCAR format:
```
Ni2HgCl
1.0
-1.614 -5.594 1.085
2.258 -3.868 3.876
-1.955 5.544 -0.717
Cl Hg Ni
1 1 2
direct
0.500 0.500 0.000 Cl
0.750 0.250 0.500 Hg
0.000 0.000 0.000 Ni
0.250 0.750 0.500 Ni
```

Properties
Excess energy over the best structure of this formula in the dataset ... 404 meV per atom
Symmetry ... I-4m2
E_form (uncorrected) ... 0.4835 eV/atom

***

No. 15
Compound: Si2TcW
Source: Alexandria via LeMat-Bulk
Functional: GGA-PBE
Structure: relaxed

The structure in POSCAR format:
```
Si2TcW
1.0
-2.039 6.097 5.251
-0.889 4.248 7.075
0.775 6.045 5.635
Si Tc W
2 1 1
direct
0.996 0.996 0.996 Si
0.504 0.504 0.504 Si
0.250 0.250 0.250 Tc
0.750 0.750 0.750 W
```

Properties
Excess energy over the best structure of this formula in the dataset ... 349 meV per atom
Symmetry ... R-3m
E_form (uncorrected) ... -0.0263 eV/atom

***

No. 16
Compound: Cs3Sn2F7
Source: Alexandria via LeMat-Bulk
Functional: GGA-PBE
Structure: relaxed

The structure in POSCAR format:
```
Cs3Sn2F7
1.0
4.707 0.000 -0.885
-0.166 4.704 -0.885
-0.006 -0.006 12.934
Cs Sn F
3 2 7
direct
0.312 0.312 0.623 Cs
0.688 0.688 0.377 Cs
0.500 0.500 0.000 Cs
0.101 0.101 0.201 Sn
0.899 0.899 0.799 Sn
0.000 0.000 0.000 F
0.894 0.394 0.789 F
0.394 0.894 0.789 F
0.106 0.606 0.211 F
0.606 0.106 0.211 F
0.192 0.192 0.385 F
0.808 0.808 0.615 F
```

Properties
Excess energy over the best structure of this formula in the dataset ... 0 meV per atom
Symmetry ... I4/mmm
E_form (uncorrected) ... -2.5100 eV/atom

***

No. 17
Compound: CuBTe2N
Source: Alexandria via LeMat-Bulk
Functional: GGA-PBE
Structure: relaxed

The structure in POSCAR format:
```
CuBTe2N
1.0
5.333 0.000 0.000
0.000 5.333 0.000
0.000 0.000 3.469
B Te Cu N
1 2 1 1
direct
0.500 0.500 0.500 B
0.000 0.500 0.000 Te
0.500 0.000 0.000 Te
0.000 0.000 0.000 Cu
0.000 0.000 0.500 N
```

Properties
Excess energy over the best structure of this formula in the dataset ... 1152 meV per atom
Symmetry ... P4/mmm
E_form (uncorrected) ... 1.4988 eV/atom

***

No. 18
Compound: CaPmGePd
Source: Alexandria via LeMat-Bulk
Functional: GGA-PBE
Structure: relaxed

The structure in POSCAR format:
```
CaPmGePd
1.0
3.862 0.000 0.000
0.000 4.499 0.000
-1.931 0.000 5.621
Ca Pm Ge Pd
1 1 1 1
direct
0.141 0.000 0.282 Ca
0.857 0.500 0.714 Pm
0.574 0.500 0.148 Ge
0.428 0.000 0.856 Pd
```

Properties
Excess energy over the best structure of this formula in the dataset ... 0 meV per atom
Formation enthalpy at 0 K ... -0.716 eV/atom
Symmetry ... Amm2

***

No. 19
Compound: Pm3Mg3Ga8
Source: Alexandria via LeMat-Bulk
Functional: GGA-PBE
Structure: relaxed

The structure in POSCAR format:
```
Pm3Mg3Ga8
1.0
4.324 0.000 0.000
2.162 8.399 0.159
2.162 2.440 8.039
Pm Mg Ga
3 3 8
direct
0.500 0.500 0.500 Pm
0.801 0.199 0.199 Pm
0.199 0.801 0.801 Pm
0.500 0.000 0.000 Mg
0.000 0.788 0.212 Mg
0.000 0.212 0.788 Mg
0.643 0.079 0.636 Ga
0.357 0.921 0.364 Ga
0.643 0.636 0.079 Ga
0.357 0.364 0.921 Ga
0.837 0.793 0.532 Ga
0.163 0.207 0.468 Ga
0.837 0.532 0.793 Ga
0.163 0.468 0.207 Ga
```

Properties
Formation enthalpy at 0 K ... -0.478 eV/atom
Symmetry ... Immm

***

No. 20
Compound: Mn2CrPb
Source: Alexandria via LeMat-Bulk
Functional: GGA-PBE
Structure: relaxed

The structure in POSCAR format:
```
Mn2CrPb
1.0
4.125 0.000 0.000
0.000 4.125 0.000
0.000 0.000 3.967
Cr Mn Pb
1 2 1
direct
0.000 0.500 0.500 Cr
0.000 0.000 0.000 Mn
0.500 0.500 0.000 Mn
0.500 0.000 0.500 Pb
```

Properties
Formation enthalpy at 0 K ... 0.452 eV/atom
Symmetry ... P4/mmm